Entry 1:
Cs6Rb3Hg2Au (GGA-PBE, optimized geometry); ΔE_f = -0.113 eV/atom; raw total energy = -1.105 eV per atom; crystal system = monoclinic
1.0
9.224 -0.015 -0.022
-4.623 7.982 -0.022
-1.553 -2.689 12.649
Cs Rb Hg Au
6 3 2 1
Direct
0.943 0.629 0.830
0.747 0.747 0.173
0.057 0.371 0.170
0.629 0.943 0.830
0.253 0.253 0.827
0.371 0.057 0.170
0.172 0.828 0.500
0.828 0.172 0.500
0.500 0.500 0.500
0.335 0.665 0.000
0.665 0.335 0.000
0.000 0.000 0.000

=====

Entry 2:
MgTlNi2 (GGA-PBE, optimized geometry); ΔE_f = 0.355 eV/atom; raw total energy = -3.526 eV per atom; crystal system = tetragonal
1.0
6.997 0.000 0.000
0.000 6.997 0.000
3.499 3.499 2.781
Ni Tl Mg
4 2 2
Direct
0.620 0.125 0.250
0.130 0.625 0.250
0.375 0.380 0.750
0.875 0.870 0.750
0.000 0.000 0.000
0.750 0.250 0.500
0.500 0.500 0.000
0.250 0.750 0.500

=====

Entry 3:
NaHSeN2 (GGA-PBE, optimized geometry); relative energy among the computed polymorphs = 803 meV per atom; raw total energy = -2.532 eV per atom; crystal system = tetragonal
1.0
4.744 0.000 0.000
0.000 4.744 0.000
0.000 0.000 5.781
Na H Se N
1 1 1 2
Direct
0.000 0.000 0.000
0.500 0.500 0.500
0.000 0.000 0.500
0.000 0.500 0.000
0.500 0.000 0.000

=====

Entry 4:
VInSeBr2 (GGA-PBE, optimized geometry); relative energy among the computed polymorphs = 0 meV per atom; raw total energy = -4.240 eV per atom; crystal system = tetragonal; formation energy from raw total energies = -502.5 meV per atom
1.0
5.338 0.000 0.000
0.000 5.338 0.000
0.000 0.000 4.827
V Se Br In
1 1 2 1
Direct
0.000 0.000 0.000
0.000 0.000 0.500
0.000 0.500 0.000
0.500 0.000 0.000
0.500 0.500 0.500

=====

Entry 5:
Mn2SiPb (GGA-PBE, optimized geometry); relative energy among the computed polymorphs = 40 meV per atom; raw total energy = -6.619 eV per atom; crystal system = monoclinic; formation energy from raw total energies = 248.8 meV per atom
1.0
-0.097 2.668 -1.577
-2.457 1.150 2.096
3.660 3.262 5.294
Mn Pb Si
2 1 1
Direct
0.000 0.253 0.868
0.500 0.087 0.201
0.000 0.452 0.473
0.500 0.708 0.958

=====

Entry 6:
Nd6P2PbSe3 (GGA-PBE, optimized geometry); raw total energy = -6.018 eV per atom; crystal system = monoclinic; formation energy from raw total energies = -1552.3 meV per atom
1.0
-0.683 -4.156 0.551
8.055 -1.669 -2.595
1.224 3.157 8.952
Nd P Pb Se
6 2 1 3
Direct
0.328 0.897 0.657
0.672 0.573 0.344
0.672 0.103 0.343
0.006 0.264 0.012
0.994 0.736 0.988
0.328 0.427 0.656
0.831 0.663 0.663
0.169 0.337 0.337
0.500 0.000 0.000
0.500 0.500 0.000
0.836 0.168 0.671
0.164 0.832 0.329

=====

Entry 7:
In4MoOs (GGA-PBE, optimized geometry); ΔE_f = 1.191 eV/atom; raw total energy = -4.311 eV per atom; crystal system = cubic
1.0
0.000 3.960 3.960
3.960 0.000 3.960
3.960 3.960 0.000
In Mo Os
4 1 1
Direct
0.875 0.375 0.375
0.375 0.375 0.875
0.375 0.875 0.375
0.375 0.375 0.375
0.750 0.750 0.750
0.000 0.000 0.000

=====

Entry 8:
InCu4Pt (GGA-PBE, optimized geometry); ΔE_f = -0.068 eV/atom; raw total energy = -4.262 eV per atom; crystal system = cubic
1.0
0.000 3.473 3.473
3.473 0.000 3.473
3.473 3.473 0.000
In Cu Pt
1 4 1
Direct
0.750 0.750 0.750
0.876 0.375 0.375
0.375 0.375 0.876
0.375 0.876 0.375
0.375 0.375 0.375
0.000 0.000 0.000

=====

Entry 9:
CsMnN2 (GGA-PBE, optimized geometry); relative energy among the computed polymorphs = 731 meV per atom; raw total energy = -6.225 eV per atom; crystal system = trigonal; formation energy from raw total energies = 443.4 meV per atom
1.0
-2.991 1.060 -0.585
-1.084 0.176 -3.034
-3.617 -5.712 -0.755
Cs Mn N
1 1 2
Direct
0.500 0.500 0.500
0.000 0.000 0.000
0.287 0.287 0.138
0.713 0.713 0.862

=====

Entry 10:
Er6TlSe3 (GGA-PBE, optimized geometry); raw total energy = -5.043 eV per atom; crystal system = monoclinic; formation energy from raw total energies = -1022.8 meV per atom
1.0
-0.888 3.432 -1.588
5.923 -2.989 -9.775
-11.354 -3.619 -1.471
Er Tl Se
12 2 6
Direct
0.750 0.499 0.646
0.250 0.501 0.354
0.750 0.918 0.093
0.250 0.082 0.907
0.750 0.382 0.076
0.250 0.618 0.924
0.750 0.724 0.265
0.250 0.276 0.735
0.750 0.135 0.475
0.250 0.865 0.525
0.750 0.796 0.747
0.250 0.204 0.253
0.750 0.050 0.695
0.250 0.950 0.305
0.750 0.436 0.857
0.250 0.564 0.143
0.750 0.665 0.494
0.250 0.335 0.506
0.750 0.146 0.078
0.250 0.854 0.922

=====

Entry 11:
Te2PtRh (GGA-PBE, optimized geometry); relative energy among the computed polymorphs = 0 meV per atom; raw total energy = -5.174 eV per atom; crystal system = trigonal; formation energy from raw total energies = -254.6 meV per atom
1.0
7.169 0.017 0.010
6.055 3.837 0.010
6.055 1.765 3.407
Te Rh Pt
2 1 1
Direct
0.029 0.029 0.029
0.222 0.222 0.222
0.754 0.754 0.754
0.495 0.495 0.495

=====

Entry 12:
InPb4 (GGA-PBE, optimized geometry); relative energy among the computed polymorphs = 463 meV per atom; ΔE_f = 0.470 eV/atom; raw total energy = -3.044 eV per atom; crystal system = cubic
1.0
-3.897 -1.035 -4.104
-0.090 -5.557 1.487
-4.231 1.071 3.748
Pb In
4 1
Direct
0.000 0.000 0.000
0.500 0.000 0.500
0.000 0.500 0.500
0.500 0.500 0.000
0.500 0.500 0.500

=====

Number 1: calculated density 2.95 Mg/m³, total moment 0.00 μB per cell. Number 2: calculated density 8.44 Mg/m³, total moment 0.00 μB per cell. Number 3: calculated density 1.67 Mg/m³, total moment 5.26 μB per cell. Number 4: calculated density 4.88 Mg/m³, total moment 2.00 μB per cell. Number 5: calculated density 7.69 Mg/m³, total moment 5.76 μB per cell. Number 6: calculated density 6.85 Mg/m³, total moment 0.00 μB per cell. Number 7: calculated density 9.97 Mg/m³, total moment 3.56 μB per cell. Number 8: calculated density 11.18 Mg/m³, total moment 0.00 μB per cell. Number 9: calculated density 6.08 Mg/m³, total moment 1.99 μB per cell. Number 10: calculated density 9.12 Mg/m³, total moment 1.16 μB per cell. Number 11: calculated density 9.86 Mg/m³, total moment 0.00 μB per cell. Number 12: calculated density 8.23 Mg/m³, total moment 0.00 μB per cell.